Here is a relaxed structure of SrFeN2F from the Alexandria database. Energies are from PBE with a Hubbard U.

Computed properties:
Crystal system ... tetragonal
Space-group type ... P4/mmm, No. 123
VASP energy ... -4.256 eV per atom
M_tot ... 7.0 μB per cell
Energy relative to the lowest polymorph listed for this composition ... 1584 meV/atom

a = 4.910 Å, b = 4.910 Å, c = 4.516 Å
α = 90.00°, β = 90.00°, γ = 90.00°
Fractional positions:
Sr (0.000, 0.000, 0.000)
Fe (0.500, 0.500, 0.500)
N (0.000, 0.500, 0.000)
N (0.500, 0.000, 0.000)
F (0.000, 0.000, 0.500)